First-principles (PBEsol) data for a geometry-optimized In3BTe structure, as listed in Alexandria via LeMat-Bulk.

Properties
The value obtained for the size of the total moment is 0.084 μB/f.u. As for the raw formation energy: 1575 meV/atom. The value obtained for the density of states at the Fermi level is 4.27 states/eV per cell.

The structure in CIF format:
```
data_In3BTe
_cell_length_a 5.654
_cell_length_b 5.654
_cell_length_c 5.654
_cell_angle_alpha 90.00
_cell_angle_beta 90.00
_cell_angle_gamma 90.00
_symmetry_space_group_name_H-M 'P m -3 m'
_symmetry_Int_Tables_number 221
_symmetry_space_group_name_Hall '-P 4 2 3'
loop_
_atom_site_label
_atom_site_type_symbol
_atom_site_fract_x
_atom_site_fract_y
_atom_site_fract_z
In1 In 0.000 0.000 0.500
B1 B 0.500 0.500 0.500
Te1 Te 0.000 0.000 0.000
```